No. 1
Na4Al4H10O13 | meta-GGA SCAN | single point on PBEsol structure

a b c (Å): 10.4168 10.4168 5.3425
angles (deg): 90.00 90.00 90.00
Fractional positions:
Na 0.1016 0.3984 0.4008
Na 0.1933 0.6933 0.6767
Na 0.3067 0.1933 0.3233
Na 0.3984 0.8984 0.5992
Na 0.6016 0.1016 0.5992
Na 0.6933 0.8067 0.3233
Na 0.8067 0.3067 0.6767
Na 0.8984 0.6016 0.4008
Al 0.0919 0.1886 0.8884
Al 0.1886 0.9081 0.1116
Al 0.3114 0.4081 0.8884
Al 0.4081 0.6886 0.1116
Al 0.5919 0.3114 0.1116
Al 0.6886 0.5919 0.8884
Al 0.8114 0.0919 0.1116
Al 0.9081 0.8114 0.8884
H 0.0039 0.1504 0.4884
H 0.0559 0.4441 0.8746
H 0.0871 0.6929 0.1756
H 0.1504 0.9961 0.5116
H 0.1929 0.5871 0.1756
H 0.3071 0.0871 0.8244
H 0.3496 0.4961 0.4884
H 0.4129 0.1929 0.8244
H 0.4441 0.9441 0.1254
H 0.4961 0.6504 0.5116
H 0.5039 0.3496 0.5116
H 0.5559 0.0559 0.1254
H 0.5871 0.8071 0.8244
H 0.6504 0.5039 0.4884
H 0.6929 0.9129 0.8244
H 0.8071 0.4129 0.1756
H 0.8496 0.0039 0.5116
H 0.9129 0.3071 0.1756
H 0.9441 0.5559 0.8746
H 0.9961 0.8496 0.4884
O 0.0000 0.5000 0.7643
O 0.0662 0.8095 0.9962
O 0.0889 0.1777 0.5525
O 0.1176 0.6176 0.2850
O 0.1639 0.3361 0.9737
O 0.1777 0.9111 0.4475
O 0.1905 0.0662 0.0038
O 0.3095 0.5662 0.9962
O 0.3223 0.4111 0.5525
O 0.3361 0.8361 0.0263
O 0.3824 0.1176 0.7150
O 0.4111 0.6777 0.4475
O 0.4338 0.3095 0.0038
O 0.5000 0.0000 0.2357
O 0.5662 0.6905 0.0038
O 0.5889 0.3223 0.4475
O 0.6176 0.8824 0.7150
O 0.6639 0.1639 0.0263
O 0.6777 0.5889 0.5525
O 0.6905 0.4338 0.9962
O 0.8095 0.9338 0.0038
O 0.8223 0.0889 0.4475
O 0.8361 0.6639 0.9737
O 0.8824 0.3824 0.2850
O 0.9111 0.8223 0.5525
O 0.9338 0.1905 0.9962

Values from the calculation:
Calculated total energy: -7.27 eV/atom
ρ: 2394 kg/m³
Calculated volume: 579.7 Å³ per cell
Total magnetization: 0.0000 μB per atom
DOS at the Fermi energy: 0.000 states/eV/atom

***

No. 2
Mg2Cu2Se3 | meta-GGA SCAN | single point on PBEsol structure

a b c (Å): 8.0587 8.0587 11.6297
angles (deg): 117.98 117.98 29.66
Fractional positions:
Mg 0.0436 0.0436 0.2770
Mg 0.3742 0.3742 0.3284
Mg 0.6258 0.6258 0.6716
Mg 0.9564 0.9564 0.7230
Cu 0.2517 0.2517 0.0645
Cu 0.3354 0.3354 0.7043
Cu 0.6646 0.6646 0.2957
Cu 0.7483 0.7483 0.9355
Se 0.1423 0.1423 0.8345
Se 0.1789 0.1789 0.2102
Se 0.4243 0.4243 0.5768
Se 0.5757 0.5757 0.4232
Se 0.8211 0.8211 0.7898
Se 0.8577 0.8577 0.1655

Values from the calculation:
ρ: 4193 kg/m³
E_form (uncorrected): -0.6995 eV per atom
Calculated volume: 326.8 Å³ per cell
Total magnetization: 0.0000 μB per atom

***

No. 3
CeMg3 | meta-GGA SCAN | single point on PBEsol structure

a b c (Å): 4.6865 4.6865 4.6865
angles (deg): 90.00 90.00 90.00
Fractional positions:
Ce 0.0000 0.0000 0.0000
Mg 0.0000 0.5000 0.5000
Mg 0.5000 0.0000 0.5000
Mg 0.5000 0.5000 0.0000

Values from the calculation:
ρ: 3437 kg/m³
ΔE_f: 0.0516 eV/atom
Calculated volume: 102.9 Å³ per cell
Total magnetization: 0.5532 μB per atom
DOS at the Fermi energy: 1.506 states/eV/atom